(1)
Density functional theory data (GGA-PBE) for BaTb4PmS8 after structural relaxation.

Structure (CIF):
```
data_BaTb4PmS8
_space_group_name_H-M_alt 'R 3 m'
_space_group_IT_number 160
_space_group_name_Hall 'R 3 -2"'
_cell_length_a 8.2773
_cell_length_b 8.2773
_cell_length_c 20.4865
_cell_angle_alpha 90.00
_cell_angle_beta 90.00
_cell_angle_gamma 120.00
loop_
_atom_site_label
_atom_site_fract_x
_atom_site_fract_y
_atom_site_fract_z
_atom_site_occupancy
Ba1 0.0000 0.0000 0.0000 1
Tb1 0.0000 0.0000 0.7484 1
Tb2 0.0045 0.5022 0.8742 1
Pm1 0.0000 0.0000 0.3719 1
S1 0.0000 0.0000 0.1419 1
S2 0.0000 0.0000 0.6164 1
S3 0.0155 0.5077 0.1276 1
S4 0.1886 0.3771 0.9490 1
```

Formation energy from raw total energies in eV/atom: -1.97
M_tot in Bohr magnetons per cell: 0.0
Crystal system: trigonal
Energy in eV for the cell shown: -257.3

=====

(2)
Density functional theory data (GGA-PBE) for Ba2PmTlS4 after structural relaxation.

Structure (CIF):
```
data_Ba2PmTlS4
_space_group_name_H-M_alt 'P 1 2/m 1'
_space_group_IT_number 10
_space_group_name_Hall '-P 2y'
_cell_length_a 7.4604
_cell_length_b 4.3974
_cell_length_c 7.8094
_cell_angle_alpha 90.00
_cell_angle_beta 109.02
_cell_angle_gamma 90.00
loop_
_atom_site_label
_atom_site_fract_x
_atom_site_fract_y
_atom_site_fract_z
_atom_site_occupancy
Ba1 0.0000 0.0000 0.0000 1
Ba2 0.0000 0.5000 0.5000 1
Pm1 0.5000 0.0000 0.5000 1
Tl1 0.5000 0.5000 0.0000 1
S1 0.2654 0.0000 0.7232 1
S2 0.2740 0.5000 0.2773 1
```

Formation energy from raw total energies in eV/atom: -1.69
M_tot in Bohr magnetons per cell: 0.0
Crystal system: monoclinic
Energy in eV for the cell shown: -41.0

=====

(3)
Density functional theory data (GGA-PBE) for Ba2PmTlS5 after structural relaxation.

Structure (CIF):
```
data_Ba2PmTlS5
_space_group_name_H-M_alt 'C m c 21'
_space_group_IT_number 36
_space_group_name_Hall 'C 2c -2'
_cell_length_a 4.2180
_cell_length_b 18.4840
_cell_length_c 13.0458
_cell_angle_alpha 90.00
_cell_angle_beta 90.00
_cell_angle_gamma 90.00
loop_
_atom_site_label
_atom_site_fract_x
_atom_site_fract_y
_atom_site_fract_z
_atom_site_occupancy
Ba1 0.0000 0.1168 0.0000 1
Ba2 0.0000 0.1344 0.6284 1
Pm1 0.0000 0.2121 0.3318 1
Tl1 0.0000 0.4562 0.7617 1
S1 0.0000 0.0508 0.3758 1
S2 0.0000 0.2898 0.9738 1
S3 0.0000 0.3155 0.6859 1
S4 0.0000 0.3584 0.3176 1
S5 0.0000 0.4939 0.0855 1
```

Formation energy from raw total energies in eV/atom: -1.57
M_tot in Bohr magnetons per cell: 0.0
Crystal system: orthorhombic
Energy in eV for the cell shown: -182.9

=====

| no. | theoretical density (g cm⁻³) |
| --- | --- |
| 1 | 4.814 |
| 2 | 5.158 |
| 3 | 5.122 |